The following is a DFT calculation (PBE) of crystalline Ba2LaCl at its relaxed geometry.

```
data_Ba2LaCl
_chemical_formula_sum 'Ba6 La3 Cl3'
_space_group_name_H-M_alt 'R -3 m'
_space_group_IT_number 166
_space_group_name_Hall '-R 3 2"'
_cell_length_a 4.1892
_cell_length_b 4.1892
_cell_length_c 33.9211
_cell_angle_alpha 90.00
_cell_angle_beta 90.00
_cell_angle_gamma 120.00
loop_
_atom_site_label
_atom_site_fract_x
_atom_site_fract_y
_atom_site_fract_z
Ba1 0.0000 0.0000 0.2349
La1 0.0000 0.0000 0.0000
Cl1 0.0000 0.0000 0.5000
```

Computed properties:
Distance to the lowest polymorph of the same formula = 0.0 meV/atom
ΔE_f (raw) = -0.7548 eV per atom